[1]
Na2SiSe3 | PBE-GGA | optimized geometry

a = 6.9770 Å, b = 6.9770 Å, c = 6.9201 Å
α = 97.91°, β = 97.91°, γ = 66.09°
Positions (direct):
Na 0.0026 0.6907 0.8544
Na 0.3093 0.9974 0.6456
Na 0.6907 0.0026 0.3544
Na 0.9974 0.3093 0.1456
Si 0.4130 0.5870 0.2500
Si 0.5870 0.4130 0.7500
Se 0.1187 0.8813 0.2500
Se 0.3030 0.4213 0.5353
Se 0.4213 0.3030 0.0353
Se 0.5787 0.6970 0.9647
Se 0.6970 0.5787 0.4647
Se 0.8813 0.1187 0.7500

V	25.31	Å³ per atom
magnetic moment	0.00	Bohr magnetons per cell
space group	C2/c (15)
formation energy without anion corrections	-0.76	eV per atom

=====

[2]
Na2SiSe4 | PBE-GGA | optimized geometry

a = 5.0577 Å, b = 5.0577 Å, c = 14.5011 Å
α = 90.00°, β = 90.00°, γ = 90.00°
Positions (direct):
Na 0.0000 0.0000 0.1286
Na 0.0000 0.0000 0.8714
Na 0.5000 0.5000 0.3714
Na 0.5000 0.5000 0.6286
Si 0.0000 0.0000 0.5000
Si 0.5000 0.5000 0.0000
Se 0.0000 0.0000 0.3419
Se 0.0000 0.0000 0.6581
Se 0.0000 0.5000 0.0000
Se 0.0000 0.5000 0.5000
Se 0.5000 0.0000 0.0000
Se 0.5000 0.0000 0.5000
Se 0.5000 0.5000 0.1581
Se 0.5000 0.5000 0.8419

V	26.50	Å³ per atom
magnetic moment	0.00	Bohr magnetons per cell
space group	I4/mmm (139)
formation energy without anion corrections	-0.33	eV per atom

=====

[3]
Na2SiSe | PBE-GGA | optimized geometry

a = 7.0846 Å, b = 7.0846 Å, c = 7.0846 Å
α = 90.00°, β = 90.00°, γ = 90.00°
Positions (direct):
Na 0.2500 0.2500 0.2500
Na 0.2500 0.2500 0.7500
Na 0.2500 0.7500 0.2500
Na 0.2500 0.7500 0.7500
Na 0.7500 0.2500 0.2500
Na 0.7500 0.2500 0.7500
Na 0.7500 0.7500 0.2500
Na 0.7500 0.7500 0.7500
Si 0.0000 0.0000 0.0000
Si 0.0000 0.5000 0.5000
Si 0.5000 0.0000 0.5000
Si 0.5000 0.5000 0.0000
Se 0.0000 0.0000 0.5000
Se 0.0000 0.5000 0.0000
Se 0.5000 0.0000 0.0000
Se 0.5000 0.5000 0.5000

V	22.22	Å³ per atom
magnetic moment	0.00	Bohr magnetons per cell
space group	Fm-3m (225)
formation energy without anion corrections	-0.01	eV per atom

=====

[4]
NaSi3Se | PBE-GGA | optimized geometry

a = 4.9830 Å, b = 4.9830 Å, c = 4.9830 Å
α = 90.00°, β = 90.00°, γ = 90.00°
Positions (direct):
Na 0.0000 0.0000 0.0000
Si 0.0000 0.0000 0.5000
Si 0.0000 0.5000 0.0000
Si 0.5000 0.0000 0.0000
Se 0.5000 0.5000 0.5000

V	24.75	Å³ per atom
magnetic moment	0.00	Bohr magnetons per cell
space group	Pm-3m (221)
formation energy without anion corrections	1.51	eV per atom

=====

[5]
Na3SiSe4 | PBE-GGA | optimized geometry

a = 7.3547 Å, b = 7.3547 Å, c = 7.3547 Å
α = 90.00°, β = 90.00°, γ = 90.00°
Positions (direct):
Na 0.0000 0.0000 0.5000
Na 0.0000 0.5000 0.0000
Na 0.0000 0.5000 0.5000
Na 0.5000 0.0000 0.0000
Na 0.5000 0.0000 0.5000
Na 0.5000 0.5000 0.0000
Si 0.0000 0.0000 0.0000
Si 0.5000 0.5000 0.5000
Se 0.1807 0.1807 0.1807
Se 0.1807 0.8193 0.8193
Se 0.3193 0.3193 0.6807
Se 0.3193 0.6807 0.3193
Se 0.6807 0.3193 0.3193
Se 0.6807 0.6807 0.6807
Se 0.8193 0.1807 0.8193
Se 0.8193 0.8193 0.1807

V	24.86	Å³ per atom
magnetic moment	0.00	Bohr magnetons per cell
space group	I-43m (217)
formation energy without anion corrections	-0.79	eV per atom

=====

[6]
Na4SiSe4 | PBE-GGA | optimized geometry

a = 14.5142 Å, b = 9.2704 Å, c = 7.2195 Å
α = 90.00°, β = 90.00°, γ = 90.00°
Positions (direct):
Na 0.0000 0.0000 0.0000
Na 0.0000 0.5000 0.0000
Na 0.0473 0.2500 0.4850
Na 0.2324 0.5518 0.3579
Na 0.2324 0.9482 0.3579
Na 0.2676 0.0518 0.8579
Na 0.2676 0.4482 0.8579
Na 0.4527 0.7500 0.9850
Na 0.5000 0.0000 0.5000
Na 0.5000 0.5000 0.5000
Na 0.5473 0.2500 0.0150
Na 0.7324 0.5518 0.1421
Na 0.7324 0.9482 0.1421
Na 0.7676 0.0518 0.6421
Na 0.7676 0.4482 0.6421
Na 0.9527 0.7500 0.5150
Si 0.1644 0.7500 0.7775
Si 0.3356 0.2500 0.2775
Si 0.6644 0.7500 0.7225
Si 0.8356 0.2500 0.2225
Se 0.0954 0.5474 0.6565
Se 0.0954 0.9526 0.6565
Se 0.1392 0.7500 0.0917
Se 0.1841 0.2500 0.1791
Se 0.3159 0.7500 0.6791
Se 0.3608 0.2500 0.5917
Se 0.4046 0.0474 0.1565
Se 0.4046 0.4526 0.1565
Se 0.5954 0.5474 0.8435
Se 0.5954 0.9526 0.8435
Se 0.6392 0.7500 0.4083
Se 0.6841 0.2500 0.3209
Se 0.8159 0.7500 0.8209
Se 0.8608 0.2500 0.9083
Se 0.9046 0.0474 0.3435
Se 0.9046 0.4526 0.3435

V	26.98	Å³ per atom
magnetic moment	0.00	Bohr magnetons per cell
space group	Pnma (62)
formation energy without anion corrections	-0.96	eV per atom

=====

Calculated relative energy among the computed polymorphs (meV/atom), listed in the same order as above: 61; 78; 28; 641; 80; 0